# Cs4KBr4, relaxed, DFT PBE-GGA
# Spin magnetization (μB/f.u.): 0.00
# Energy relative to the elements, uncorrected (eV per atom): -1.491
# Electronic total energy (eV per formula unit): -24.624
# Crystal system: tetragonal
data_Cs4KBr4
_chemical_formula_sum 'Cs8 K2 Br8'
_space_group_name_H-M_alt 'P 42/n m c'
_space_group_IT_number 137
_cell_length_a 10.146
_cell_length_b 10.146
_cell_length_c 9.586
_cell_angle_alpha 90.00
_cell_angle_beta 90.00
_cell_angle_gamma 90.00
loop_
_space_group_symop_operation_xyz
'x,y,z'
'-x,-y,-z'
'-y+1/2,x,z+1/2'
'y+1/2,-x,-z+1/2'
'-x+1/2,-y+1/2,z'
'x+1/2,y+1/2,-z'
'y,-x+1/2,z+1/2'
'-y,x+1/2,-z+1/2'
'x+1/2,-y,-z'
'-x+1/2,y,z'
'-y,-x,-z+1/2'
'y,x,z+1/2'
'-x,y+1/2,-z'
'x,-y+1/2,z'
'y+1/2,x+1/2,-z+1/2'
'-y+1/2,-x+1/2,z+1/2'
loop_
_atom_site_label
_atom_site_fract_x
_atom_site_fract_y
_atom_site_fract_z
_atom_site_occupancy
Cs1 0.026 0.250 0.102 1
K1 0.250 0.750 0.250 1
Br1 0.024 0.750 0.508 1